[1]
Density functional theory data (PBE-GGA) for a geometry-optimized Dy5Er3Tm4 structure.

Results
**Excess energy over the best structure of this formula in the dataset**: 0 kJ/mol of formula units
**Mass density**: 9.04 Mg/m³
**Energy**: -4.527 eV per atom
**Space-group type**: P-1
**Size of the total moment**: 0.0 μB/f.u.

Cell lengths 7.0206, 11.0836, 12.6380 Å; angles 151.29, 56.33, 129.27 degrees
Fractional positions:
1 Dy 0.3341 0.6671 0.8330
2 Dy 0.5000 0.0000 0.5000
3 Dy 0.7495 0.5004 0.0003
4 Dy 0.2505 0.4996 0.9997
5 Dy 0.6659 0.3329 0.1670
6 Er 0.5846 0.1675 0.3335
7 Er 0.0000 0.0000 0.5000
8 Er 0.4154 0.8325 0.6665
9 Tm 0.9163 0.8322 0.6665
10 Tm 0.8342 0.6679 0.8338
11 Tm 0.1658 0.3321 0.1662
12 Tm 0.0837 0.1678 0.3335

=====

[2]
Density functional theory data (PBE-GGA) for a geometry-optimized La2MnOs structure.

Results
**Excess energy over the best structure of this formula in the dataset**: 0 kJ/mol of formula units
**Mass density**: 7.94 Mg/m³
**Energy**: -7.570 eV per atom
**Space-group type**: R3m
**Size of the total moment**: 0.0 μB/f.u.

Cell lengths 8.0865, 8.0865, 8.0865 Å; angles 28.93, 28.93, 28.93 degrees
Fractional positions:
1 La 0.0351 0.0351 0.0351
2 La 0.2155 0.2155 0.2155
3 Mn 0.4484 0.4484 0.4484
4 Os 0.8010 0.8010 0.8010

=====

[3]
Density functional theory data (PBE-GGA) for a geometry-optimized Ag3CO4 structure.

Results
**Formation energy from raw total energies**: -3.08 eV per formula unit
**Mass density**: 6.48 Mg/m³
**Energy**: -5.087 eV per atom
**Space-group type**: Pmn2_1
**Size of the total moment**: 0.0 μB/f.u.

Cell lengths 5.4338, 5.7398, 6.5657 Å; angles 90.00, 90.00, 90.00 degrees
Fractional positions:
1 Ag 0.5093 0.8066 0.0000
2 Ag 0.0194 0.6386 0.2637
3 Ag 0.5194 0.3614 0.2363
4 Ag 0.0093 0.1934 0.5000
5 Ag 0.5194 0.3614 0.7637
6 Ag 0.0194 0.6386 0.7363
7 C 0.9906 0.1412 0.0000
8 C 0.4906 0.8588 0.5000
9 O 0.0717 0.9114 0.0000
10 O 0.7327 0.1464 0.0000
11 O 0.0860 0.2587 0.1716
12 O 0.5860 0.7413 0.3284
13 O 0.2327 0.8536 0.5000
14 O 0.5717 0.0886 0.5000
15 O 0.5860 0.7413 0.6716
16 O 0.0860 0.2587 0.8284

=====

Q: Look up the energy of the third one.
A: -5.087 eV per atom